DFT (GGA-PBE) results for a relaxed Ag2I3 crystal.

Cell lengths 7.6515, 7.7382, 7.6945 Å; angles 59.81, 80.70, 71.25 degrees
Fractional positions:
1 Ag 0.9974 0.1822 0.8269
2 Ag 0.4974 0.0091 0.1731
3 Ag 0.4989 0.3345 0.4912
4 Ag 0.9989 0.8257 0.5088
5 I 0.8845 0.8509 0.1645
6 I 0.8886 0.2303 0.4677
7 I 0.8613 0.5433 0.8546
8 I 0.3845 0.0154 0.8355
9 I 0.3886 0.6981 0.5323
10 I 0.3613 0.3980 0.1454

Calculated values
total moment = 0.00 μB per cell
raw formation energy = -3.125 kcal/mol of atoms
polymorph energy (0 for the lowest one) = 0.0 meV per atom